[1]
A plane-wave DFT calculation with PBE-GGA was carried out for SiSbO3 after structural relaxation.

a b c (Å): 4.0347 4.0347 4.0347
angles (deg): 90.00 90.00 90.00
Atoms (fractional coordinates):
Si 0.0000 0.0000 0.0000
Sb 0.5000 0.5000 0.5000
O 0.0000 0.5000 0.5000
O 0.5000 0.0000 0.5000
O 0.5000 0.5000 0.0000

Values from the calculation:
Raw total energy ... -5.434 eV/atom
SG ... No. 221


[2]
A plane-wave DFT calculation with PBE-GGA was carried out for MgAgRu2 after structural relaxation.

a b c (Å): 2.7153 2.7153 8.6069
angles (deg): 90.00 90.00 90.00
Atoms (fractional coordinates):
Mg 0.0000 0.0000 0.0000
Ag 0.0000 0.0000 0.5000
Ru 0.5000 0.5000 0.2435
Ru 0.5000 0.5000 0.7565

Values from the calculation:
ΔE_f ... 0.43 eV/atom
SG ... No. 123


[3]
A plane-wave DFT calculation with PBE-GGA was carried out for MnNb2Br after structural relaxation.

a b c (Å): 4.5573 4.5573 4.5573
angles (deg): 60.00 60.00 60.00
Atoms (fractional coordinates):
Mn 0.0000 0.0000 0.0000
Nb 0.2500 0.2500 0.2500
Nb 0.7500 0.7500 0.7500
Br 0.5000 0.5000 0.5000

Values from the calculation:
Energy above the lowest structure with this stoichiometry ... 0 kJ/mol of formula units
SG ... No. 225


[4]
A plane-wave DFT calculation with PBE-GGA was carried out for KPuO3F after structural relaxation.

a b c (Å): 10.3222 10.3222 4.6723
angles (deg): 98.35 98.35 144.91
Atoms (fractional coordinates):
K 0.0949 0.9051 0.7500
K 0.9051 0.0949 0.2500
Pu 0.3051 0.6949 0.2500
Pu 0.6949 0.3051 0.7500
O 0.0436 0.6485 0.9399
O 0.3515 0.9564 0.5601
O 0.4036 0.5964 0.2500
O 0.5964 0.4036 0.7500
O 0.6485 0.0436 0.4399
O 0.9564 0.3515 0.0601
F 0.3213 0.6787 0.7500
F 0.6787 0.3213 0.2500

Values from the calculation:
Raw total energy ... -7.736 eV/atom
SG ... No. 15